Entry 1:
The following is a DFT calculation (PBE) of a relaxed structure of LaHoIn2Au4.

Output
- calculated formation energy (eV/atom) = -0.697

The structure in POSCAR format:
```
LaHoIn2Au4
1.0
2.496 1.441 8.345
-2.496 1.441 8.345
0.000 -2.882 8.345
La Ho In Au
1 1 2 4
Cartesian
0.000 0.000 0.000
0.000 0.000 12.517
0.000 0.000 6.261
0.000 0.000 18.773
0.000 0.000 3.287
0.000 0.000 9.587
0.000 0.000 15.447
0.000 0.000 21.747
```

***

Entry 2:
The following is a DFT calculation (PBE) of a relaxed structure of LaHoInAu.

Output
- calculated formation energy (eV/atom) = -0.580

The structure in POSCAR format:
```
LaHoInAu
1.0
0.000 3.791 3.791
3.791 0.000 3.791
3.791 3.791 0.000
La Ho In Au
1 1 1 1
Cartesian
0.000 0.000 0.000
3.791 3.791 3.791
5.687 5.687 5.687
1.896 1.896 1.896
```

***

Entry 3:
The following is a DFT calculation (PBE) of a relaxed structure of LiHoIn2Au4.

Output
- calculated formation energy (eV/atom) = -0.541

The structure in POSCAR format:
```
LiHoIn2Au4
1.0
2.396 1.383 8.048
-2.396 1.383 8.048
0.000 -2.766 8.048
Li Ho In Au
1 1 2 4
Cartesian
0.000 0.000 0.000
0.000 0.000 12.071
0.000 0.000 6.132
0.000 0.000 18.011
0.000 0.000 2.813
0.000 0.000 8.999
0.000 0.000 15.144
0.000 0.000 21.330
```

***

Entry 4:
The following is a DFT calculation (PBE) of a relaxed structure of Li2HoInAu2.

Output
- calculated formation energy (eV/atom) = -0.580

The structure in POSCAR format:
```
Li2HoInAu2
1.0
4.546 0.000 0.000
-2.273 3.937 0.000
0.000 0.000 6.484
Li Ho In Au
2 1 1 2
Cartesian
0.000 2.625 1.183
2.273 1.312 5.302
0.000 0.000 3.242
0.000 0.000 0.000
0.000 2.625 4.853
2.273 1.312 1.631
```

***

Entry 5:
The following is a DFT calculation (PBE) of a relaxed structure of HoLuInAu.

Output
- calculated formation energy (eV/atom) = -0.618

The structure in POSCAR format:
```
HoLuInAu
1.0
0.000 3.647 3.647
3.647 0.000 3.647
3.647 3.647 0.000
Ho Lu In Au
1 1 1 1
Cartesian
0.000 0.000 0.000
3.647 3.647 3.647
5.471 5.471 5.471
1.824 1.824 1.824
```

***

Entry 6:
The following is a DFT calculation (PBE) of a relaxed structure of HoInNiAu.

Output
- calculated formation energy (eV/atom) = -0.484

The structure in POSCAR format:
```
HoInNiAu
1.0
0.000 3.384 3.384
3.384 0.000 3.384
3.384 3.384 0.000
Ho In Ni Au
1 1 1 1
Cartesian
0.000 0.000 0.000
3.384 3.384 3.384
1.692 1.692 1.692
5.076 5.076 5.076
```

***

Entry 7:
The following is a DFT calculation (PBE) of a relaxed structure of HoInPbAu.

Output
- calculated formation energy (eV/atom) = -0.295

The structure in POSCAR format:
```
HoInPbAu
1.0
0.000 3.670 3.670
3.670 0.000 3.670
3.670 3.670 0.000
Ho In Pb Au
1 1 1 1
Cartesian
0.000 0.000 0.000
3.670 3.670 3.670
5.505 5.505 5.505
1.835 1.835 1.835
```

***

Entry 8:
The following is a DFT calculation (PBE) of a relaxed structure of HoInPdAu.

Output
- calculated formation energy (eV/atom) = -0.748

The structure in POSCAR format:
```
HoInPdAu
1.0
0.000 3.440 3.440
3.440 0.000 3.440
3.440 3.440 0.000
Ho In Pd Au
1 1 1 1
Cartesian
0.000 0.000 0.000
3.440 3.440 3.440
5.160 5.160 5.160
1.720 1.720 1.720
```

***

Which value of calculated formation energy does entry 8 give? -0.748 eV/atom